Computed, not measured: a relaxed TiV2Ru2 crystal at the PBE-GGA level of DFT.

## Properties
Excess energy over the best structure of this formula in the dataset   69 meV per atom
Total magnetic moment   2.3 μB/cell
ΔH_f (0 K)   -0.09 eV/atom

Cell lengths 7.1801, 7.1801, 2.8805 Å; angles 90.00, 90.00, 90.00 degrees
Space group P4/mbm (No. 127)
One atom of each set of equivalent atoms:
1 Ti 0.0000 0.0000 0.0000 (multiplicity 2)
2 V 0.1580 0.3420 0.5000 (multiplicity 4)
3 Ru 0.1423 0.6423 0.0000 (multiplicity 4)

Computed, not measured: a relaxed Ti4VRu5 crystal at the PBE-GGA level of DFT.

## Properties
Total magnetic moment   0.0 μB/cell
ΔH_f (0 K)   -0.65 eV/atom

Cell lengths 3.0631, 3.0631, 15.3630 Å; angles 90.00, 90.00, 90.00 degrees
Space group P4/mmm (No. 123)
One atom of each set of equivalent atoms:
1 Ti 0.0000 0.0000 0.1003 (multiplicity 2)
2 Ti 0.0000 0.0000 0.3011 (multiplicity 2)
3 V 0.0000 0.0000 0.5000 (multiplicity 1)
4 Ru 0.5000 0.5000 0.0000 (multiplicity 1)
5 Ru 0.5000 0.5000 0.2016 (multiplicity 2)
6 Ru 0.5000 0.5000 0.4022 (multiplicity 2)

Computed, not measured: a relaxed Ti2V2Ru crystal at the PBE-GGA level of DFT.

## Properties
Excess energy over the best structure of this formula in the dataset   337 meV per atom
Total magnetic moment   0.0 μB/cell
ΔH_f (0 K)   0.02 eV/atom

Cell lengths 6.1780, 6.1780, 4.1234 Å; angles 90.00, 90.00, 90.00 degrees
Space group P4/mbm (No. 127)
One atom of each set of equivalent atoms:
1 Ti 0.1646 0.3354 0.0000 (multiplicity 4)
2 V 0.1433 0.6433 0.5000 (multiplicity 4)
3 Ru 0.0000 0.0000 0.5000 (multiplicity 2)

Computed, not measured: a relaxed Ti5VRu4 crystal at the PBE-GGA level of DFT.

## Properties
Total magnetic moment   0.0 μB/cell
ΔH_f (0 K)   -0.61 eV/atom

Cell lengths 3.0734, 3.0734, 15.6036 Å; angles 90.00, 90.00, 90.00 degrees
Space group P4/mmm (No. 123)
One atom of each set of equivalent atoms:
1 Ti 0.0000 0.0000 0.0000 (multiplicity 1)
2 Ti 0.0000 0.0000 0.1989 (multiplicity 2)
3 Ti 0.0000 0.0000 0.3962 (multiplicity 2)
4 V 0.5000 0.5000 0.5000 (multiplicity 1)
5 Ru 0.5000 0.5000 0.0989 (multiplicity 2)
6 Ru 0.5000 0.5000 0.2969 (multiplicity 2)

Computed, not measured: a relaxed TiVRu crystal at the PBE-GGA level of DFT.

## Properties
Excess energy over the best structure of this formula in the dataset   8 meV per atom
Total magnetic moment   0.0 μB/cell
ΔH_f (0 K)   -0.44 eV/atom

Cell lengths 4.3032, 4.3032, 5.3339 Å; angles 90.00, 90.00, 120.00 degrees
Space group P3m1 (No. 156)
One atom of each set of equivalent atoms:
1 Ti 0.0000 0.0000 0.0000 (multiplicity 1)
2 Ti 0.3333 0.6667 0.6635 (multiplicity 1)
3 V 0.3333 0.6667 0.1722 (multiplicity 1)
4 V 0.6667 0.3333 0.3287 (multiplicity 1)
5 Ru 0.0000 0.0000 0.4897 (multiplicity 1)
6 Ru 0.6667 0.3333 0.8354 (multiplicity 1)

Computed, not measured: a relaxed TiVRu3 crystal at the PBE-GGA level of DFT.

## Properties
Excess energy over the best structure of this formula in the dataset   0 meV per atom
Total magnetic moment   0.0 μB/cell
ΔH_f (0 K)   0.74 eV/atom

Cell lengths 4.4087, 4.4087, 4.4087 Å; angles 90.00, 90.00, 90.00 degrees
Space group Pm-3m (No. 221)
One atom of each set of equivalent atoms:
1 Ti 0.0000 0.0000 0.0000 (multiplicity 1)
2 V 0.5000 0.5000 0.5000 (multiplicity 1)
3 Ru 0.0000 0.5000 0.5000 (multiplicity 3)

Computed, not measured: a relaxed TiV2Ru2 crystal at the PBE-GGA level of DFT.

## Properties
Excess energy over the best structure of this formula in the dataset   36 meV per atom
Total magnetic moment   1.5 μB/cell
ΔH_f (0 K)   -0.13 eV/atom

Cell lengths 7.2045, 7.2045, 2.8273 Å; angles 90.00, 90.00, 90.00 degrees
Space group P4/mbm (No. 127)
One atom of each set of equivalent atoms:
1 Ti 0.0000 0.0000 0.0000 (multiplicity 2)
2 V 0.1475 0.3525 0.0000 (multiplicity 4)
3 Ru 0.1526 0.6526 0.5000 (multiplicity 4)

Computed, not measured: a relaxed Ti2VRu crystal at the PBE-GGA level of DFT.

## Properties
Total magnetic moment   1.5 μB/cell
ΔH_f (0 K)   -0.34 eV/atom

Cell lengths 4.3989, 4.3989, 3.0800 Å; angles 90.00, 90.00, 90.00 degrees
Space group P4/mmm (No. 123)
One atom of each set of equivalent atoms:
1 Ti 0.0000 0.5000 0.0000 (multiplicity 2)
2 V 0.0000 0.0000 0.5000 (multiplicity 1)
3 Ru 0.5000 0.5000 0.5000 (multiplicity 1)

Computed, not measured: a relaxed TiV2Ru4 crystal at the PBE-GGA level of DFT.

## Properties
Total magnetic moment   0.0 μB/cell
ΔH_f (0 K)   -0.07 eV/atom

Cell lengths 5.9652, 5.9652, 5.8998 Å; angles 90.00, 90.00, 90.00 degrees
Space group I4/mmm (No. 139)
One atom of each set of equivalent atoms:
1 Ti 0.0000 0.0000 0.0000 (multiplicity 2)
2 V 0.0000 0.5000 0.0000 (multiplicity 4)
3 Ru 0.2500 0.2500 0.2500 (multiplicity 8)

Computed, not measured: a relaxed TiV5Ru6 crystal at the PBE-GGA level of DFT.

## Properties
Total magnetic moment   5.8 μB/cell
ΔH_f (0 K)   -0.32 eV/atom

Cell lengths 4.2751, 6.0239, 12.8883 Å; angles 90.00, 90.00, 90.00 degrees
Space group Immm (No. 71)
One atom of each set of equivalent atoms:
1 Ti 0.0000 0.0000 0.0000 (multiplicity 2)
2 V 0.0000 0.0000 0.3313 (multiplicity 4)
3 V 0.0000 0.5000 0.0000 (multiplicity 2)
4 V 0.0000 0.5000 0.3275 (multiplicity 4)
5 Ru 0.0000 0.2494 0.5000 (multiplicity 4)
6 Ru 0.0000 0.2499 0.1638 (multiplicity 8)

Computed, not measured: a relaxed Ti2VRu crystal at the PBE-GGA level of DFT.

## Properties
Total magnetic moment   0.0 μB/cell
ΔH_f (0 K)   0.20 eV/atom

Cell lengths 6.9091, 6.9091, 5.3297 Å; angles 90.00, 90.00, 90.00 degrees
Space group I-42d (No. 122)
One atom of each set of equivalent atoms:
1 Ti 0.2322 0.2500 0.1250 (multiplicity 8)
2 V 0.0000 0.0000 0.5000 (multiplicity 4)
3 Ru 0.0000 0.0000 0.0000 (multiplicity 4)

Computed, not measured: a relaxed TiV2Ru2 crystal at the PBE-GGA level of DFT.

## Properties
Excess energy over the best structure of this formula in the dataset   0 meV per atom
Total magnetic moment   0.0 μB/cell
ΔH_f (0 K)   -0.16 eV/atom

Cell lengths 2.9626, 16.5228, 2.9949 Å; angles 90.00, 90.00, 90.00 degrees
Space group Cmmm (No. 65)
One atom of each set of equivalent atoms:
1 Ti 0.0000 0.0000 0.0000 (multiplicity 2)
2 V 0.0000 0.1885 0.0000 (multiplicity 4)
3 Ru 0.0000 0.4041 0.5000 (multiplicity 4)